Entry 1:
Here is a PBEsol-optimized structure of CdSb2TeIr from the Alexandria database. Energies are from SCAN.

Space group: P4/mmm (123)
Magnetization: 0.00 Bohr magnetons per cell
Formation energy (no corrections): 0.431 eV/atom

a = 5.011 Å, b = 5.011 Å, c = 5.646 Å
α = 90.00°, β = 90.00°, γ = 90.00°
Positions (direct):
Te 0.000 0.000 0.500
Cd 0.500 0.500 0.500
Sb 0.500 0.000 0.000
Sb 0.000 0.500 0.000
Ir 0.000 0.000 0.000

=====

Entry 2:
Here is a PBEsol-optimized structure of MoIr2Os from the Alexandria database. Energies are from SCAN.

Space group: P4/mmm (123)
Magnetization: 0.00 Bohr magnetons per cell
Energy relative to the elements: -0.148 eV/atom
Energy above the most stable polymorph in this dataset: 0.147 eV/atom

a = 2.703 Å, b = 2.703 Å, c = 7.803 Å
α = 90.00°, β = 90.00°, γ = 90.00°
Positions (direct):
Ir 0.000 0.000 0.745
Ir 0.000 0.000 0.255
Mo 0.500 0.500 0.000
Os 0.500 0.500 0.500

=====

Entry 3:
Here is a PBEsol-optimized structure of Cr3ReB from the Alexandria database. Energies are from SCAN.

Space group: Pm-3m (221)
Magnetization: 8.59 Bohr magnetons per cell
Energy relative to the elements: 2.021 eV/atom

a = 4.536 Å, b = 4.536 Å, c = 4.536 Å
α = 90.00°, β = 90.00°, γ = 90.00°
Positions (direct):
Cr 0.000 0.500 0.000
Cr 0.500 0.000 0.000
Cr 0.000 0.000 0.500
Re 0.000 0.000 0.000
B 0.500 0.500 0.500

=====

Entry 4:
Here is a PBEsol-optimized structure of CaAsSeBr2 from the Alexandria database. Energies are from SCAN.

Space group: P4/mmm (123)
Magnetization: 1.00 Bohr magnetons per cell
Formation energy (no corrections): -0.391 eV/atom

a = 5.312 Å, b = 5.312 Å, c = 5.751 Å
α = 90.00°, β = 90.00°, γ = 90.00°
Positions (direct):
As 0.500 0.500 0.500
Se 0.000 0.000 0.500
Ca 0.000 0.000 0.000
Br 0.500 0.000 0.000
Br 0.000 0.500 0.000

=====

Entry 5:
Here is a PBEsol-optimized structure of RePCl2 from the Alexandria database. Energies are from SCAN.

Space group: Cm (8)
Magnetization: 0.00 Bohr magnetons per cell
Energy above the most stable polymorph in this dataset: 0.000 eV/atom
Formation energy (no corrections): -0.339 eV/atom

a = 3.237 Å, b = 3.237 Å, c = 8.328 Å
α = 89.19°, β = 89.19°, γ = 59.99°
Positions (direct):
Re 0.290 0.290 0.709
Cl 0.951 0.951 0.932
Cl 0.633 0.633 0.308
P 0.627 0.627 0.550

=====

Entry 6:
Here is a PBEsol-optimized structure of Cr3Co from the Alexandria database. Energies are from SCAN.

Space group: Cmmm (65)
Magnetization: 1.34 Bohr magnetons per cell
Energy relative to the elements: 0.117 eV/atom

a = 2.410 Å, b = 2.410 Å, c = 7.759 Å
α = 90.00°, β = 90.00°, γ = 106.40°
Positions (direct):
Cr 0.500 0.500 0.757
Cr 0.500 0.500 0.243
Cr 0.000 0.000 0.500
Co 0.000 0.000 0.000

=====

- Among the records above, which one has the highest magnetization?
  Cr3ReB

=====

- Look up the magnetization of the sixth one.
  1.34 Bohr magnetons per cell

=====

- What is the magnetization in the fifth record?
  0.00 Bohr magnetons per cell